[1]
The following is a DFT calculation (PBE) of a relaxed SrLi2Pb2 crystal.

a b c (Å): 8.728 8.728 3.694
angles (deg): 90.00 90.00 90.00
Fractional positions:
Sr 0.000 0.000 0.000
Sr 0.500 0.500 0.000
Li 0.155 0.345 0.500
Li 0.345 0.845 0.500
Li 0.655 0.155 0.500
Li 0.845 0.655 0.500
Pb 0.132 0.632 0.000
Pb 0.368 0.132 0.000
Pb 0.632 0.868 0.000
Pb 0.868 0.368 0.000

formation energy from the elements	-0.259	eV per atom
energy above the most stable polymorph in this dataset	107.5	meV per atom
DOS at the Fermi energy	6.25	states/eV per cell
uncorrected energy	-2.84	eV per atom

---

[2]
The following is a DFT calculation (PBE) of a relaxed SrLi3Pb3 crystal.

a b c (Å): 7.499 7.499 7.499
angles (deg): 90.00 90.00 90.00
Fractional positions:
Sr 0.000 0.000 0.000
Sr 0.500 0.500 0.500
Li 0.000 0.250 0.500
Li 0.000 0.750 0.500
Li 0.250 0.500 0.000
Li 0.500 0.000 0.250
Li 0.500 0.000 0.750
Li 0.750 0.500 0.000
Pb 0.000 0.500 0.250
Pb 0.000 0.500 0.750
Pb 0.250 0.000 0.500
Pb 0.500 0.250 0.000
Pb 0.500 0.750 0.000
Pb 0.750 0.000 0.500

formation energy from the elements	0.028	eV per atom
DOS at the Fermi energy	7.53	states/eV per cell
uncorrected energy	-2.62	eV per atom

---

> Which value of formation energy from the elements does entry 2 give?

0.028 eV per atom

---

> Number 2 is which compound?

SrLi3Pb3

---

> Among the records above, which one has the highest uncorrected energy?

SrLi3Pb3